## Na3Ce4S8 (PBE-GGA)

Data for Na3Ce4S8 after structural relaxation.

extended XYZ file:
```
15
Lattice="7.172 -0.104 -3.892 -4.633 6.685 -0.316 -0.142 0.021 8.139" Properties=species:S:1:pos:R:3 pbc="T T T"
S 2.354 1.585 4.142
S -1.211 1.608 6.125
S -3.550 5.077 5.888
S 5.947 1.524 -1.957
S 2.286 1.446 -0.074
S 0.043 5.016 -0.211
S -3.563 5.098 1.697
S 0.111 5.155 4.005
Na 1.198 3.301 1.965
Na 1.269 3.290 -2.104
Na 3.515 -0.042 2.123
Ce 3.586 -0.052 -1.946
Ce 0.000 0.000 0.000
Ce -0.071 0.010 4.069
Ce -2.316 3.343 -0.158
```

final energy = -5.75 eV/atom
total magnetization = 3.0 μB/f.u.
space group = C2/m (12)



## CaHO2 (PBE-GGA)

Data for CaHO2 after structural relaxation.

extended XYZ file:
```
8
Lattice="4.036 0.000 0.000 0.000 4.036 0.000 2.018 2.018 4.791" Properties=species:S:1:pos:R:3 pbc="T T T"
H 2.018 2.018 0.000
H 2.018 4.036 2.395
O 3.027 4.036 3.593
O 2.018 3.027 1.198
O 2.017 1.009 1.198
O 5.045 4.035 3.593
Ca 4.036 2.018 2.395
Ca 0.000 0.000 0.000
```

final energy = -4.79 eV/atom
total magnetization = 0.0 μB/f.u.
space group = I4_1/amd (141)



## LaAg2As (PBE-GGA)

Data for LaAg2As after structural relaxation.

extended XYZ file:
```
4
Lattice="4.137 0.012 0.000 -0.012 4.137 0.000 0.000 0.000 6.000" Properties=species:S:1:pos:R:3 pbc="T T T"
Ag 2.063 2.075 0.964
Ag 0.000 0.000 0.567
La 2.063 2.075 3.988
As 0.000 0.000 3.480
```

DFT formation energy = -344 meV per atom
final energy = -4.16 eV/atom
total magnetization = 0.0 μB/f.u.
space group = P4mm (99)